WN2OF | PBE with a Hubbard U | optimized geometry

Results
total energy = -21.80 eV for the cell shown
space-group type = P4/mmm, No. 123
D(E_F) = 0.304 states/eV per atom
total magnetization = 1.3 μB per formula unit

Cell lengths 3.619, 3.619, 3.674 Å; angles 90.00, 90.00, 90.00 degrees
Site moments in Bohr magnetons follow the coordinates.
Element x y z (fractional)
W 0.500 0.500 0.500  -2.05
O 0.000 0.000 0.500  0.12
N 0.000 0.500 0.000  0.26
N 0.500 0.000 0.000  0.26
F 0.000 0.000 0.000  -0.01